## ScMnInF6 (PBE with a Hubbard U)

Data for a relaxed ScMnInF6 crystal.

a b c (Å): 5.7013 5.7012 5.7992
angles (deg): 90.01 89.99 59.98
Last column: magnetic moment on the atom in μB.
Element x y z (fractional)
F1 0.6108 0.0140 0.3067  0.02
F2 0.0139 0.6108 0.6932  0.02
F3 0.0141 0.3752 0.3068  0.02
F4 0.3752 0.0141 0.6933  0.02
F5 0.6106 0.3753 0.6933  0.02
F6 0.3752 0.6107 0.3067  0.02
In1 0.0000 0.0000 0.9999  0.00
Mn1 0.6666 0.6666 0.5000  4.69
Sc1 0.3333 0.3334 0.5000  0.01

Properties
Size of the total moment (μB per cell): 4.99
Raw total energy (eV/cell): -54.9